1.
Computed, not measured: crystalline BaSr3Zn8 at its relaxed geometry at the GGA-PBE level of DFT.

a b c (Å): 5.986 5.986 9.147
angles (deg): 90.00 90.00 120.00
Fractional coordinates of all 12 atoms:
Ba  0.000  0.000  0.552
Sr  0.667  0.333  0.449
Sr  0.667  0.333  0.053
Sr  0.000  0.000  0.951
Zn  0.333  0.667  0.500
Zn  0.333  0.667  0.997
Zn  0.489  0.978  0.753
Zn  0.489  0.511  0.753
Zn  0.022  0.511  0.753
Zn  0.180  0.360  0.246
Zn  0.180  0.820  0.246
Zn  0.640  0.820  0.246

**Crystal system**: trigonal
**Size of the total moment**: 0.0 μB per formula unit
**Space group**: P3m1 (156)
**Final energy**: -1.595 eV per atom

2.
Computed, not measured: crystalline Ba2SrZn at its relaxed geometry at the GGA-PBE level of DFT.

a b c (Å): 6.197 6.197 6.197
angles (deg): 60.00 60.00 60.00
Fractional coordinates of all 4 atoms:
Ba  0.000  0.000  0.000
Ba  0.250  0.250  0.250
Sr  0.500  0.500  0.500
Zn  0.750  0.750  0.750

**Crystal system**: cubic
**Size of the total moment**: 0.0 μB per formula unit
**Space group**: F-43m (216)
**Final energy**: -1.569 eV per atom

3.
Computed, not measured: crystalline Ba6Sr2Zn at its relaxed geometry at the GGA-PBE level of DFT.

a b c (Å): 7.040 11.587 9.103
angles (deg): 129.53 112.66 90.00
Fractional coordinates of all 9 atoms:
Ba  0.160  0.468  0.319
Ba  0.840  0.149  0.681
Ba  0.840  0.532  0.681
Ba  0.500  0.166  0.000
Ba  0.160  0.851  0.319
Ba  0.500  0.834  0.000
Sr  0.683  0.683  0.366
Sr  0.317  0.317  0.634
Zn  0.000  0.000  0.000

**Crystal system**: monoclinic
**Size of the total moment**: 0.0 μB per formula unit
**Space group**: C2/m (12)
**Final energy**: -1.674 eV per atom

Number 1: ΔE_f -0.165 eV per atom. Number 2: ΔE_f 0.131 eV per atom. Number 3: ΔE_f 0.124 eV per atom.